First-principles (GGA-PBE) data for a geometry-optimized Cs4S12I structure, as listed in Alexandria via LeMat-Bulk.

Uncorrected formation energy   -10.46 kcal/mol of atoms
Crystal system   cubic
Uncorrected energy   -3.659 eV/atom

a b c (Å): 11.147 11.147 11.147
angles (deg): 90.00 90.00 90.00
Space group Im-3 (No. 204)
Asymmetric unit:
Cs1 0.250 0.250 0.250
S1 0.000 0.413 0.118
I1 0.000 0.000 0.000

First-principles (GGA-PBE) data for a geometry-optimized NaPaRh4 structure, as listed in Alexandria via LeMat-Bulk.

Crystal system   cubic
Formation energy   -0.37 eV/atom
Uncorrected energy   -7.069 eV/atom

a b c (Å): 7.458 7.458 7.458
angles (deg): 90.00 90.00 90.00
Space group F-43m (No. 216)
Asymmetric unit:
Na1 0.000 0.000 0.000
Pa1 0.250 0.250 0.250
Rh1 0.125 0.125 0.625

First-principles (GGA-PBE) data for a geometry-optimized RbSnBr4 structure, as listed in Alexandria via LeMat-Bulk.

Uncorrected formation energy   -22.78 kcal/mol of atoms
Crystal system   monoclinic
Uncorrected energy   -2.931 eV/atom

a b c (Å): 10.125 15.361 7.267
angles (deg): 90.00 123.02 90.00
Space group C2/c (No. 15)
Asymmetric unit:
Rb1 0.000 0.134 0.250
Sn1 0.000 0.413 0.750
Br1 0.162 0.290 0.692
Br2 0.199 0.453 0.210

First-principles (GGA-PBE) data for a geometry-optimized BeVFe2H structure, as listed in Alexandria via LeMat-Bulk.

Crystal system   tetragonal
Uncorrected energy   -6.641 eV/atom

a b c (Å): 3.565 3.565 3.561
angles (deg): 90.00 90.00 90.00
Space group P4/mmm (No. 123)
Asymmetric unit:
Be1 0.000 0.000 0.000
V1 0.500 0.500 0.000
Fe1 0.000 0.500 0.500
H1 0.500 0.500 0.500

First-principles (GGA-PBE) data for a geometry-optimized NaZrN2F structure, as listed in Alexandria via LeMat-Bulk.

Uncorrected formation energy   -21.02 kcal/mol of atoms
Crystal system   tetragonal
Uncorrected energy   -6.589 eV/atom

a b c (Å): 4.204 4.204 4.349
angles (deg): 90.00 90.00 90.00
Space group P4/mmm (No. 123)
Asymmetric unit:
Na1 0.000 0.000 0.000
Zr1 0.500 0.500 0.500
N1 0.000 0.500 0.500
F1 0.500 0.500 0.000

First-principles (GGA-PBE) data for a geometry-optimized BaPSe2 structure, as listed in Alexandria via LeMat-Bulk.

Uncorrected formation energy   -20.66 kcal/mol of atoms
Crystal system   monoclinic
Uncorrected energy   -4.471 eV/atom

a b c (Å): 11.472 4.410 4.749
angles (deg): 90.00 92.88 90.00
Space group Cm (No. 8)
Asymmetric unit:
Ba1 0.000 0.000 0.000
P1 0.221 0.000 0.546
Se1 0.214 0.500 0.793
Se2 0.418 0.000 0.489

First-principles (GGA-PBE) data for a geometry-optimized PrEr2Ga2Cu2 structure, as listed in Alexandria via LeMat-Bulk.

Crystal system   trigonal
Formation energy   -0.39 eV/atom
Uncorrected energy   -4.408 eV/atom

a b c (Å): 4.4325 4.4325 27.3088
angles (deg): 90.00 90.00 120.00
Space group R-3m (No. 166, hexagonal axes)
Asymmetric unit:
Pr1 0.0000 0.0000 0.0000
Er1 0.0000 0.0000 0.1261
Ga1 0.0000 0.0000 0.2573
Cu1 0.0000 0.0000 0.4072

First-principles (GGA-PBE) data for a geometry-optimized CuAs2Se structure, as listed in Alexandria via LeMat-Bulk.

Uncorrected formation energy   1.67 kcal/mol of atoms
Crystal system   monoclinic
Uncorrected energy   -4.148 eV/atom

a b c (Å): 4.601 3.776 4.621
angles (deg): 90.00 109.67 90.00
Space group Pm (No. 6)
Asymmetric unit:
Cu1 0.000 0.000 0.000
As1 0.510 0.000 0.479
As2 0.767 0.500 0.252
Se1 0.209 0.500 0.769

First-principles (GGA-PBE) data for a geometry-optimized GdIrPdPb structure, as listed in Alexandria via LeMat-Bulk.

Crystal system   cubic
Formation energy   -0.43 eV/atom
Uncorrected energy   -8.396 eV/atom

a b c (Å): 6.873 6.873 6.873
angles (deg): 90.00 90.00 90.00
Space group F-43m (No. 216)
Asymmetric unit:
Gd1 0.000 0.000 0.000
Ir1 0.250 0.250 0.250
Pd1 0.250 0.250 0.750
Pb1 0.000 0.000 0.500

Please write out number 9 again, unchanged.
First-principles (GGA-PBE) data for a geometry-optimized GdIrPdPb structure, as listed in Alexandria via LeMat-Bulk.

Crystal system   cubic
Formation energy   -0.43 eV/atom
Uncorrected energy   -8.396 eV/atom

a b c (Å): 6.873 6.873 6.873
angles (deg): 90.00 90.00 90.00
Space group F-43m (No. 216)
Asymmetric unit:
Gd1 0.000 0.000 0.000
Ir1 0.250 0.250 0.250
Pd1 0.250 0.250 0.750
Pb1 0.000 0.000 0.500